Density functional theory data (PBE) for crystalline SrPrGaSi at its relaxed geometry.

Calculated values
Energy ... -34.1 eV/cell
E_form (uncorrected) ... -0.538 eV/atom

Lattice parameters (Å, degrees): 4.144 4.605 11.527 90.00 90.00 90.00
Atoms (fractional coordinates):
Sr 0.000 0.000 0.000
Sr 0.000 0.500 0.500
Pr 0.500 0.000 0.279
Pr 0.500 0.500 0.779
Ga 0.500 0.000 0.581
Ga 0.500 0.500 0.081
Si 0.000 0.000 0.716
Si 0.000 0.500 0.216

***

Density functional theory data (PBE) for crystalline SrAuF2 at its relaxed geometry.

Calculated values
Energy ... -54.0 eV/cell
E_form (uncorrected) ... -2.322 eV/atom
ΔE to the lowest computed polymorph ... 0 meV/atom

Lattice parameters (Å, degrees): 3.706 3.706 25.443 90.00 90.00 120.00
Atoms (fractional coordinates):
Sr 0.000 0.000 0.000
Sr 0.333 0.667 0.667
Sr 0.667 0.333 0.333
Au 0.000 0.000 0.500
Au 0.333 0.667 0.167
Au 0.667 0.333 0.833
F 0.000 0.000 0.376
F 0.000 0.000 0.624
F 0.333 0.667 0.042
F 0.333 0.667 0.291
F 0.667 0.333 0.709
F 0.667 0.333 0.958

***

Density functional theory data (PBE) for crystalline Y2Ga4Ni3Pt at its relaxed geometry.

Calculated values
Energy relative to the elements ... -0.6826 eV per atom
Energy ... -55.2 eV/cell

Lattice parameters (Å, degrees): 4.002 4.002 10.552 90.00 90.00 90.00
Atoms (fractional coordinates):
Y 0.000 0.500 0.239
Y 0.500 0.000 0.761
Ga 0.000 0.000 0.000
Ga 0.000 0.500 0.641
Ga 0.500 0.000 0.359
Ga 0.500 0.500 0.000
Ni 0.000 0.500 0.866
Ni 0.500 0.000 0.134
Ni 0.500 0.500 0.500
Pt 0.000 0.000 0.500

***

Density functional theory data (PBE) for crystalline CaFe3Cu at its relaxed geometry.

Calculated values
Energy relative to the elements ... 2.0849 eV per atom
Energy ... -21.1 eV/cell
ΔE to the lowest computed polymorph ... 1247 meV/atom

Lattice parameters (Å, degrees): 4.494 4.494 4.494 90.00 90.00 90.00
Atoms (fractional coordinates):
Ca 0.000 0.000 0.000
Fe 0.000 0.000 0.500
Fe 0.000 0.500 0.000
Fe 0.500 0.000 0.000
Cu 0.500 0.500 0.500

***

Density functional theory data (PBE) for crystalline Cu2ReAg at its relaxed geometry.

Calculated values
Energy relative to the elements ... 0.4293 eV per atom
Energy ... -43.5 eV/cell
ΔE to the lowest computed polymorph ... 167 meV/atom

Lattice parameters (Å, degrees): 9.736 2.607 4.703 90.00 108.36 90.00
Atoms (fractional coordinates):
Cu 0.000 0.000 0.000
Cu 0.218 0.500 0.349
Cu 0.500 0.500 0.000
Cu 0.718 0.000 0.349
Re 0.252 0.000 0.874
Re 0.752 0.500 0.874
Ag 0.476 0.000 0.492
Ag 0.976 0.500 0.492

***

Density functional theory data (PBE) for crystalline LaBiNO2 at its relaxed geometry.

Calculated values
Energy ... -29.8 eV/cell
E_form (uncorrected) ... -0.556 eV/atom

Lattice parameters (Å, degrees): 4.546 4.546 4.412 90.00 90.00 90.00
Atoms (fractional coordinates):
La 0.000 0.000 0.000
Bi 0.500 0.500 0.500
N 0.000 0.000 0.500
O 0.000 0.500 0.000
O 0.500 0.000 0.000

***

Number 1: spin magnetization 0.0 μB/f.u.. Number 2: spin magnetization 0.0 μB/f.u.. Number 3: spin magnetization 0.0 μB/f.u.. Number 4: spin magnetization 7.2 μB/f.u.. Number 5: spin magnetization 0.1 μB/f.u.. Number 6: spin magnetization 0.0 μB/f.u..